# 1
Computed, not measured: an optimized crystal structure of Zr5Ga2Sn at the PBE level of DFT.

For the total magnetic moment, the calculation gives 0.00 μB per formula unit. For the calculated volume, the calculation gives 339.0 Å³/cell. For the mass density, the calculation gives 7.00 Mg/m³. As for the calculated formation energy: -0.519 eV per atom.

Cell: 8.1630 8.1630 8.1630 Å, 126.62 126.62 78.88°
Closest atoms and distances in Å follow each position.
Sites, in units of the cell vectors:
Zr  0.0000  0.0000  0.0000  4 Ga 2.85, 2 Sn 3.15
Zr  0.0091  0.5091  0.8173  3 Ga 2.84-2.88, 2 Sn 3.04, 1 Zr 3.16
Zr  0.1918  0.0091  0.5000  3 Ga 2.84-2.88, 2 Sn 3.04, 1 Zr 3.16
Zr  0.3082  0.8082  0.8173  3 Ga 2.84-2.88, 2 Sn 3.04, 1 Zr 3.16
Zr  0.4909  0.3082  0.5000  3 Ga 2.84-2.88, 2 Sn 3.04, 1 Zr 3.16
Zr  0.5000  0.5000  0.0000  4 Ga 2.85, 2 Sn 3.15
Zr  0.5091  0.6918  0.5000  3 Ga 2.84-2.88, 2 Sn 3.04, 1 Zr 3.16
Zr  0.6918  0.1918  0.1827  3 Ga 2.84-2.88, 2 Sn 3.04, 1 Zr 3.16
Zr  0.8082  0.9909  0.5000  3 Ga 2.84-2.88, 2 Sn 3.04, 1 Zr 3.16
Zr  0.9909  0.4909  0.1827  3 Ga 2.84-2.88, 2 Sn 3.04, 1 Zr 3.16
Ga  0.1367  0.3633  0.5000  1 Ga 2.84, 8 Zr 2.84-2.88
Ga  0.3633  0.8633  0.2266  1 Ga 2.84, 8 Zr 2.84-2.88
Ga  0.6367  0.1367  0.7734  1 Ga 2.84, 8 Zr 2.84-2.88
Ga  0.8633  0.6367  0.5000  1 Ga 2.84, 8 Zr 2.84-2.88
Sn  0.2500  0.2500  0.0000  10 Zr 3.04-3.15
Sn  0.7500  0.7500  0.0000  10 Zr 3.04-3.15

***

# 2
Computed, not measured: an optimized crystal structure of Zr6GaSn at the PBE level of DFT.

For the total magnetic moment, the calculation gives 0.00 μB per formula unit. For the calculated volume, the calculation gives 174.1 Å³/cell. For the mass density, the calculation gives 7.02 Mg/m³. As for the calculated formation energy: -0.323 eV per atom.

Cell: 5.5837 5.5837 5.5837 Å, 90.00 90.00 90.00°
Closest atoms and distances in Å follow each position.
Sites, in units of the cell vectors:
Zr  0.0000  0.2465  0.5000  2 Zr 2.75-2.83
Zr  0.0000  0.7535  0.5000  2 Zr 2.75-2.83
Zr  0.2465  0.5000  0.0000  2 Zr 2.75-2.83
Zr  0.5000  0.0000  0.2465  2 Zr 2.75-2.83
Zr  0.5000  0.0000  0.7535  2 Zr 2.75-2.83
Zr  0.7535  0.5000  0.0000  2 Zr 2.75-2.83
Ga  0.0000  0.0000  0.0000  12 Zr 3.11
Sn  0.5000  0.5000  0.5000  12 Zr 3.13

***

# 3
Computed, not measured: an optimized crystal structure of ZrGaSn2 at the PBE level of DFT.

For the total magnetic moment, the calculation gives 0.00 μB per formula unit. For the calculated volume, the calculation gives 88.7 Å³/cell. For the mass density, the calculation gives 7.45 Mg/m³. As for the calculated formation energy: -0.168 eV per atom.

Cell: 4.3185 4.3185 4.7580 Å, 90.00 90.00 90.00°
Closest atoms and distances in Å follow each position.
Sites, in units of the cell vectors:
Zr  0.0000  0.0000  0.0000  4 Ga 3.05, 8 Sn 3.21
Ga  0.5000  0.5000  0.0000  4 Zr 3.05, 8 Sn 3.21
Sn  0.0000  0.5000  0.5000  4 Sn 3.05, 4 Zr 3.21, 4 Ga 3.21
Sn  0.5000  0.0000  0.5000  4 Sn 3.05, 4 Zr 3.21, 4 Ga 3.21

***

# 4
Computed, not measured: an optimized crystal structure of ZrGaSn at the PBE level of DFT.

For the total magnetic moment, the calculation gives 0.00 μB per formula unit. For the calculated volume, the calculation gives 70.9 Å³/cell. For the mass density, the calculation gives 6.55 Mg/m³. As for the calculated formation energy: -0.239 eV per atom. The calculation puts the energy above the lowest structure with this stoichiometry at 206 meV/atom.

Cell: 4.0294 4.0817 4.3091 Å, 90.00 90.00 90.00°
Closest atoms and distances in Å follow each position.
Sites, in units of the cell vectors:
Zr  0.0000  0.0000  0.0000  4 Ga 2.87, 4 Sn 2.97
Ga  0.5000  0.5000  0.0000  4 Zr 2.87, 4 Sn 2.95
Sn  0.0000  0.5000  0.5000  4 Ga 2.95, 4 Zr 2.97

***

# 5
Computed, not measured: an optimized crystal structure of ZrGaSn3 at the PBE level of DFT.

For the total magnetic moment, the calculation gives 0.19 μB per formula unit. For the calculated volume, the calculation gives 141.4 Å³/cell. For the mass density, the calculation gives 6.07 Mg/m³. As for the calculated formation energy: 0.646 eV per atom. The calculation puts the energy above the lowest structure with this stoichiometry at 326 meV/atom.

Cell: 5.2095 5.2095 5.2095 Å, 90.00 90.00 90.00°
Closest atoms and distances in Å follow each position.
Sites, in units of the cell vectors:
Zr  0.0000  0.0000  0.0000  12 Sn 3.68
Ga  0.5000  0.5000  0.5000  6 Sn 2.60
Sn  0.0000  0.5000  0.5000  2 Ga 2.60
Sn  0.5000  0.0000  0.5000  2 Ga 2.60
Sn  0.5000  0.5000  0.0000  2 Ga 2.60

***

# 6
Computed, not measured: an optimized crystal structure of ZrGa2Sn at the PBE level of DFT.

For the total magnetic moment, the calculation gives 0.00 μB per formula unit. For the calculated volume, the calculation gives 79.3 Å³/cell. For the mass density, the calculation gives 7.31 Mg/m³. As for the calculated formation energy: -0.286 eV per atom.

Cell: 4.4280 4.4280 4.0466 Å, 90.00 90.00 90.00°
Closest atoms and distances in Å follow each position.
Sites, in units of the cell vectors:
Zr  0.0000  0.0000  0.0000  8 Ga 3.00, 4 Sn 3.13
Ga  0.0000  0.5000  0.5000  4 Zr 3.00, 4 Sn 3.00, 4 Ga 3.13
Ga  0.5000  0.0000  0.5000  4 Zr 3.00, 4 Sn 3.00, 4 Ga 3.13
Sn  0.5000  0.5000  0.0000  8 Ga 3.00, 4 Zr 3.13

***

# 7
Computed, not measured: an optimized crystal structure of Zr2GaSn2 at the PBE level of DFT.

For the total magnetic moment, the calculation gives 0.00 μB per formula unit. For the calculated volume, the calculation gives 238.7 Å³/cell. For the mass density, the calculation gives 6.81 Mg/m³. As for the calculated formation energy: -0.033 eV per atom. The calculation puts the energy above the lowest structure with this stoichiometry at 349 meV/atom.

Cell: 4.0210 4.0210 14.7628 Å, 90.00 90.00 90.00°
Closest atoms and distances in Å follow each position.
Sites, in units of the cell vectors:
Zr  0.0000  0.0000  0.0952  1 Zr 2.81, 4 Sn 3.04
Zr  0.0000  0.0000  0.9048  1 Zr 2.81, 4 Sn 3.04
Zr  0.5000  0.5000  0.4048  1 Zr 2.81, 4 Sn 3.04
Zr  0.5000  0.5000  0.5952  1 Zr 2.81, 4 Sn 3.04
Ga  0.0000  0.0000  0.5000  8 Zr 3.17
Ga  0.5000  0.5000  0.0000  8 Zr 3.17
Sn  0.0000  0.5000  0.2500  4 Sn 2.84, 4 Zr 3.04
Sn  0.0000  0.5000  0.7500  4 Sn 2.84, 4 Zr 3.04
Sn  0.5000  0.0000  0.2500  4 Sn 2.84, 4 Zr 3.04
Sn  0.5000  0.0000  0.7500  4 Sn 2.84, 4 Zr 3.04

***

# 8
Computed, not measured: an optimized crystal structure of Zr2GaSn2 at the PBE level of DFT.

For the total magnetic moment, the calculation gives 0.00 μB per formula unit. For the calculated volume, the calculation gives 231.3 Å³/cell. For the mass density, the calculation gives 7.03 Mg/m³. As for the calculated formation energy: -0.382 eV per atom. The calculation puts the energy above the lowest structure with this stoichiometry at 0 meV/atom.

Cell: 7.3173 7.3173 4.3193 Å, 90.00 90.00 90.00°
Closest atoms and distances in Å follow each position.
Sites, in units of the cell vectors:
Zr  0.1658  0.3342  0.0000  2 Ga 2.73, 2 Sn 2.92
Zr  0.3342  0.8342  0.0000  2 Ga 2.73, 2 Sn 2.92
Zr  0.6658  0.1658  0.0000  2 Ga 2.73, 2 Sn 2.92
Zr  0.8342  0.6658  0.0000  2 Ga 2.73, 2 Sn 2.92
Ga  0.0000  0.0000  0.0000  4 Zr 2.73
Ga  0.5000  0.5000  0.0000  4 Zr 2.73
Sn  0.1440  0.6440  0.5000  6 Zr 2.92-3.13, 1 Sn 2.98
Sn  0.3560  0.1440  0.5000  6 Zr 2.92-3.13, 1 Sn 2.98
Sn  0.6440  0.8560  0.5000  6 Zr 2.92-3.13, 1 Sn 2.98
Sn  0.8560  0.3560  0.5000  6 Zr 2.92-3.13, 1 Sn 2.98

***

# 9
Computed, not measured: an optimized crystal structure of ZrGaSn3 at the PBE level of DFT.

For the total magnetic moment, the calculation gives 0.00 μB per formula unit. For the calculated volume, the calculation gives 171.8 Å³/cell. For the mass density, the calculation gives 5.00 Mg/m³. As for the calculated formation energy: 0.320 eV per atom. The calculation puts the energy above the lowest structure with this stoichiometry at 0 meV/atom.

Cell: 5.5596 5.5596 5.5596 Å, 90.00 90.00 90.00°
Closest atoms and distances in Å follow each position.
Sites, in units of the cell vectors:
Zr  0.0000  0.0000  0.0000  6 Sn 2.78
Ga  0.5000  0.5000  0.5000  12 Sn 3.93
Sn  0.0000  0.0000  0.5000  2 Zr 2.78
Sn  0.0000  0.5000  0.0000  2 Zr 2.78
Sn  0.5000  0.0000  0.0000  2 Zr 2.78

***

# 10
Computed, not measured: an optimized crystal structure of Zr2GaSn2 at the PBE level of DFT.

For the total magnetic moment, the calculation gives 0.00 μB per formula unit. For the calculated volume, the calculation gives 228.3 Å³/cell. For the mass density, the calculation gives 7.12 Mg/m³. As for the calculated formation energy: -0.183 eV per atom. The calculation puts the energy above the lowest structure with this stoichiometry at 199 meV/atom.

Cell: 7.4911 7.4911 4.0681 Å, 90.00 90.00 90.00°
Closest atoms and distances in Å follow each position.
Sites, in units of the cell vectors:
Zr  0.1575  0.3425  0.0000  6 Sn 2.92-3.04
Zr  0.3425  0.8425  0.0000  6 Sn 2.92-3.04
Zr  0.6575  0.1575  0.0000  6 Sn 2.92-3.04
Zr  0.8425  0.6575  0.0000  6 Sn 2.92-3.04
Ga  0.0000  0.0000  0.5000  4 Sn 2.87
Ga  0.5000  0.5000  0.5000  4 Sn 2.87
Sn  0.1447  0.6447  0.5000  2 Ga 2.87, 6 Zr 2.92-3.04, 1 Sn 3.07
Sn  0.3553  0.1447  0.5000  2 Ga 2.87, 6 Zr 2.92-3.04, 1 Sn 3.07
Sn  0.6447  0.8553  0.5000  2 Ga 2.87, 6 Zr 2.92-3.04, 1 Sn 3.07
Sn  0.8553  0.3553  0.5000  2 Ga 2.87, 6 Zr 2.92-3.04, 1 Sn 3.07

***

# 11
Computed, not measured: an optimized crystal structure of Zr3GaSn2 at the PBE level of DFT.

For the total magnetic moment, the calculation gives 0.00 μB per formula unit. For the calculated volume, the calculation gives 523.3 Å³/cell. For the mass density, the calculation gives 7.37 Mg/m³. As for the calculated formation energy: -0.425 eV per atom.

Cell: 12.5526 4.0009 10.4200 Å, 90.00 90.00 90.00°
Closest atoms and distances in Å follow each position.
Sites, in units of the cell vectors:
Zr  0.0751  0.2500  0.0712  4 Sn 2.93-3.06, 1 Ga 2.95, 4 Zr 3.12-3.19
Zr  0.1294  0.7500  0.5461  3 Ga 2.88-2.90, 4 Sn 3.14-3.16
Zr  0.2209  0.7500  0.2317  2 Ga 2.91, 4 Sn 3.02-3.11, 2 Zr 3.19
Zr  0.2791  0.2500  0.7317  2 Ga 2.91, 4 Sn 3.02-3.11, 2 Zr 3.19
Zr  0.3706  0.2500  0.0461  3 Ga 2.88-2.90, 4 Sn 3.14-3.16
Zr  0.4249  0.7500  0.5712  4 Sn 2.93-3.06, 1 Ga 2.95, 4 Zr 3.12-3.19
Zr  0.5751  0.2500  0.4288  4 Sn 2.93-3.06, 1 Ga 2.95, 4 Zr 3.12-3.19
Zr  0.6294  0.7500  0.9539  3 Ga 2.88-2.90, 4 Sn 3.14-3.16
Zr  0.7209  0.7500  0.2683  2 Ga 2.91, 4 Sn 3.02-3.11, 2 Zr 3.19
Zr  0.7791  0.2500  0.7683  2 Ga 2.91, 4 Sn 3.02-3.11, 2 Zr 3.19
Zr  0.8706  0.2500  0.4539  3 Ga 2.88-2.90, 4 Sn 3.14-3.16
Zr  0.9249  0.7500  0.9288  4 Sn 2.93-3.06, 1 Ga 2.95, 4 Zr 3.12-3.19
Ga  0.0866  0.2500  0.3538  3 Sn 2.78, 6 Zr 2.88-2.95
Ga  0.4134  0.7500  0.8538  3 Sn 2.78, 6 Zr 2.88-2.95
Ga  0.5866  0.2500  0.1462  3 Sn 2.78, 6 Zr 2.88-2.95
Ga  0.9134  0.7500  0.6462  3 Sn 2.78, 6 Zr 2.88-2.95
Sn  0.0390  0.2500  0.7536  2 Ga 2.78, 3 Zr 3.02-3.06
Sn  0.2021  0.7500  0.9343  1 Ga 2.78, 5 Zr 2.93-3.11
Sn  0.2979  0.2500  0.4343  1 Ga 2.78, 5 Zr 2.93-3.11
Sn  0.4610  0.7500  0.2536  2 Ga 2.78, 3 Zr 3.02-3.06
Sn  0.5390  0.2500  0.7464  2 Ga 2.78, 3 Zr 3.02-3.06
Sn  0.7021  0.7500  0.5657  1 Ga 2.78, 5 Zr 2.93-3.11
Sn  0.7979  0.2500  0.0657  1 Ga 2.78, 5 Zr 2.93-3.11
Sn  0.9610  0.7500  0.2464  2 Ga 2.78, 3 Zr 3.02-3.06